Entry 1:
# BaSrTiMn2 | the Alexandria database | PBE | relaxed
# Formation energy from the elements: 11.545 eV/f.u.
# VASP energy: -3.659 eV/atom
# Space-group type: P4/mmm
data_BaSrTiMn2
_chemical_formula_sum 'Ba1 Sr1 Ti1 Mn2'
_cell_length_a 4.8681
_cell_length_b 4.8681
_cell_length_c 5.6633
_cell_angle_alpha 90.00
_cell_angle_beta 90.00
_cell_angle_gamma 90.00
_space_group_name_H-M_alt 'P 1'
_space_group_IT_number 1
loop_
_space_group_symop_operation_xyz
'x,y,z'
loop_
_atom_site_label
_atom_site_type_symbol
_atom_site_fract_x
_atom_site_fract_y
_atom_site_fract_z
Ba1 Ba 0.0000 0.0000 0.0000
Sr1 Sr 0.0000 0.0000 0.5000
Ti1 Ti 0.5000 0.5000 0.5000
Mn1 Mn 0.0000 0.5000 0.0000
Mn2 Mn 0.5000 0.0000 0.0000

=====

Entry 2:
# BeZn3P | the Alexandria database | PBE | relaxed
# Formation energy from the elements: 3.839 eV/f.u.
# VASP energy: -1.824 eV/atom
# Energy above the most stable polymorph in this dataset: 196.8 meV/atom
# Space-group type: Pm-3m
data_BeZn3P
_chemical_formula_sum 'Be1 Zn3 P1'
_cell_length_a 4.6604
_cell_length_b 4.6604
_cell_length_c 4.6604
_cell_angle_alpha 90.00
_cell_angle_beta 90.00
_cell_angle_gamma 90.00
_space_group_name_H-M_alt 'P 1'
_space_group_IT_number 1
loop_
_space_group_symop_operation_xyz
'x,y,z'
loop_
_atom_site_label
_atom_site_type_symbol
_atom_site_fract_x
_atom_site_fract_y
_atom_site_fract_z
Be1 Be 0.0000 0.0000 0.0000
Zn1 Zn 0.0000 0.5000 0.5000
Zn2 Zn 0.5000 0.0000 0.5000
Zn3 Zn 0.5000 0.5000 0.0000
P1 P 0.5000 0.5000 0.5000